Record 1
Ac2LaNdPt4: optimized geometry, PBE.

## Properties
crystal system = monoclinic
space-group type = P2/m
volume = 226.19 Å³/cell
calculated formation energy = -1.14 eV per atom
total energy = -6.4005 eV per atom

Unit cell a=4.299 b=7.490 c=7.455 alpha=109.56 beta=90.00 gamma=90.00
Fractional coordinates of all 8 atoms:
Ac (0.500, 0.000, 0.500)
Ac (0.000, 0.500, 0.500)
La (0.500, 0.500, 0.000)
Nd (0.000, 0.000, 0.000)
Pt (0.500, 0.246, 0.240)
Pt (0.500, 0.754, 0.760)
Pt (0.000, 0.252, 0.759)
Pt (0.000, 0.748, 0.241)


Record 2
Ac2La3NdS6: optimized geometry, PBE.

## Properties
crystal system = monoclinic
space-group type = C2/m
volume = 312.90 Å³/cell
total energy = -6.4658 eV per atom
uncorrected formation energy = -2.088 eV per atom

Unit cell a=7.268 b=7.268 c=7.264 alpha=99.64 beta=99.64 gamma=120.06
Fractional coordinates of all 12 atoms:
Ac (0.334, 0.666, 0.000)
Ac (0.666, 0.334, 0.000)
La (0.168, 0.832, 0.500)
La (0.832, 0.168, 0.500)
La (0.500, 0.500, 0.500)
Nd (0.000, 0.000, 0.000)
S (0.916, 0.589, 0.746)
S (0.760, 0.760, 0.256)
S (0.084, 0.411, 0.254)
S (0.589, 0.916, 0.746)
S (0.240, 0.240, 0.744)
S (0.411, 0.084, 0.254)


Record 3
AcLa3Nd4S8: optimized geometry, PBE.

## Properties
crystal system = trigonal
space-group type = R-3m
volume = 399.30 Å³/cell
total energy = -6.5110 eV per atom
uncorrected formation energy = -2.075 eV per atom

Unit cell a=8.269 b=8.262 c=8.268 alpha=120.02 beta=120.00 gamma=90.00
Fractional coordinates of all 16 atoms:
Ac (0.000, 0.500, 0.000)
La (0.500, 0.500, 0.000)
La (0.500, 0.500, 0.500)
La (0.000, 0.500, 0.500)
Nd (0.500, 0.000, 0.000)
Nd (0.500, 0.000, 0.500)
Nd (0.000, 0.000, 0.000)
Nd (0.000, 0.000, 0.500)
S (0.255, 0.758, 0.003)
S (0.255, 0.758, 0.510)
S (0.248, 0.245, 0.497)
S (0.748, 0.758, 0.003)
S (0.252, 0.242, 0.997)
S (0.752, 0.755, 0.503)
S (0.745, 0.242, 0.490)
S (0.745, 0.242, 0.997)


Record 4
AcLa2NdS4: optimized geometry, PBE.

## Properties
crystal system = monoclinic
space-group type = P2/m
volume = 205.86 Å³/cell
total energy = -6.4901 eV per atom
uncorrected formation energy = -2.085 eV per atom

Unit cell a=4.157 b=7.235 c=7.252 alpha=70.68 beta=90.00 gamma=90.00
Fractional coordinates of all 8 atoms:
Ac (0.500, 0.500, 0.000)
La (0.000, 0.000, 0.000)
La (0.500, 0.000, 0.500)
Nd (0.000, 0.500, 0.500)
S (0.000, 0.755, 0.741)
S (0.000, 0.245, 0.259)
S (0.500, 0.750, 0.257)
S (0.500, 0.250, 0.743)


Record 5
Ac4La3NdS8: optimized geometry, PBE.

## Properties
crystal system = trigonal
space-group type = R-3m
volume = 425.67 Å³/cell
total energy = -6.3789 eV per atom
uncorrected formation energy = -2.066 eV per atom

Unit cell a=8.436 b=8.451 c=8.436 alpha=119.94 beta=120.00 gamma=90.00
Fractional coordinates of all 16 atoms:
Ac (0.500, 0.000, 0.000)
Ac (0.500, 0.000, 0.500)
Ac (0.000, 0.000, 0.000)
Ac (0.000, 0.000, 0.500)
La (0.500, 0.500, 0.000)
La (0.500, 0.500, 0.500)
La (0.000, 0.500, 0.500)
Nd (0.000, 0.500, 0.000)
S (0.245, 0.738, 0.993)
S (0.245, 0.738, 0.490)
S (0.253, 0.260, 0.507)
S (0.748, 0.738, 0.993)
S (0.252, 0.262, 0.007)
S (0.747, 0.740, 0.493)
S (0.755, 0.262, 0.510)
S (0.755, 0.262, 0.007)


Record 6
AcLaNd2S4: optimized geometry, PBE.

## Properties
crystal system = monoclinic
space-group type = P2/m
volume = 202.33 Å³/cell
total energy = -6.4370 eV per atom
uncorrected formation energy = -2.052 eV per atom

Unit cell a=4.128 b=7.205 c=7.207 alpha=70.73 beta=90.00 gamma=90.00
Fractional coordinates of all 8 atoms:
Ac (0.500, 0.500, 0.000)
La (0.000, 0.500, 0.500)
Nd (0.000, 0.000, 0.000)
Nd (0.500, 0.000, 0.500)
S (0.000, 0.762, 0.742)
S (0.000, 0.238, 0.258)
S (0.500, 0.758, 0.251)
S (0.500, 0.242, 0.749)


Record 7
AcLa4Nd3S8: optimized geometry, PBE.

## Properties
crystal system = trigonal
space-group type = R-3m
volume = 402.89 Å³/cell
total energy = -6.5361 eV per atom
uncorrected formation energy = -2.090 eV per atom

Unit cell a=8.295 b=8.285 c=8.295 alpha=120.04 beta=120.00 gamma=90.00
Fractional coordinates of all 16 atoms:
Ac (0.000, 0.500, 0.000)
La (0.500, 0.000, 0.000)
La (0.500, 0.000, 0.500)
La (0.000, 0.000, 0.000)
La (0.000, 0.000, 0.500)
Nd (0.500, 0.500, 0.000)
Nd (0.500, 0.500, 0.500)
Nd (0.000, 0.500, 0.500)
S (0.253, 0.750, 0.996)
S (0.253, 0.750, 0.507)
S (0.252, 0.255, 0.503)
S (0.743, 0.750, 0.996)
S (0.257, 0.250, 0.004)
S (0.748, 0.745, 0.497)
S (0.747, 0.250, 0.493)
S (0.747, 0.250, 0.004)


Record 8
Ac3La2NdS6: optimized geometry, PBE.

## Properties
crystal system = monoclinic
space-group type = C2/m
volume = 318.04 Å³/cell
total energy = -6.3734 eV per atom
uncorrected formation energy = -2.064 eV per atom

Unit cell a=7.300 b=7.300 c=7.317 alpha=99.61 beta=99.61 gamma=120.08
Fractional coordinates of all 12 atoms:
Ac (0.167, 0.833, 0.500)
Ac (0.833, 0.167, 0.500)
Ac (0.500, 0.500, 0.500)
La (0.334, 0.666, 0.000)
La (0.666, 0.334, 0.000)
Nd (0.000, 0.000, 0.000)
S (0.921, 0.590, 0.762)
S (0.749, 0.749, 0.239)
S (0.079, 0.410, 0.238)
S (0.590, 0.921, 0.762)
S (0.251, 0.251, 0.761)
S (0.410, 0.079, 0.238)


Record 9
Ac2LaNdSb4: optimized geometry, PBE.

## Properties
crystal system = monoclinic
space-group type = P2/m
volume = 291.83 Å³/cell
total energy = -5.5166 eV per atom
uncorrected formation energy = -1.216 eV per atom

Unit cell a=4.691 b=8.125 c=8.119 alpha=70.56 beta=90.00 gamma=90.00
Fractional coordinates of all 8 atoms:
Ac (0.000, 0.000, 0.000)
Ac (0.500, 0.000, 0.500)
La (0.500, 0.500, 0.000)
Nd (0.000, 0.500, 0.500)
Sb (0.000, 0.738, 0.752)
Sb (0.000, 0.262, 0.248)
Sb (0.500, 0.737, 0.256)
Sb (0.500, 0.263, 0.744)


Record 10
AcLa2NdSb4: optimized geometry, PBE.

## Properties
crystal system = monoclinic
space-group type = P2/m
volume = 284.13 Å³/cell
total energy = -5.6312 eV per atom
uncorrected formation energy = -1.229 eV per atom

Unit cell a=4.651 b=8.045 c=8.052 alpha=70.55 beta=90.00 gamma=90.00
Fractional coordinates of all 8 atoms:
Ac (0.500, 0.500, 0.000)
La (0.000, 0.000, 0.000)
La (0.500, 0.000, 0.500)
Nd (0.000, 0.500, 0.500)
Sb (0.000, 0.755, 0.742)
Sb (0.000, 0.245, 0.258)
Sb (0.500, 0.750, 0.256)
Sb (0.500, 0.250, 0.744)


Record 11
AcLaNdSc: optimized geometry, PBE.

## Properties
crystal system = cubic
space-group type = F-43m
volume = 141.95 Å³/cell
calculated formation energy = 0.19 eV per atom
total energy = -4.8414 eV per atom

Unit cell a=5.855 b=5.855 c=5.855 alpha=60.00 beta=60.00 gamma=60.00
Fractional coordinates of all 4 atoms:
Sc (0.000, 0.000, 0.000)
Ac (0.500, 0.500, 0.500)
Nd (0.250, 0.250, 0.250)
La (0.750, 0.750, 0.750)


Record 12
AcLa3Nd4Se8: optimized geometry, PBE.

## Properties
crystal system = trigonal
space-group type = R-3m
volume = 447.45 Å³/cell
total energy = -6.0152 eV per atom
uncorrected formation energy = -1.900 eV per atom

Unit cell a=8.594 b=8.577 c=8.593 alpha=120.06 beta=120.00 gamma=90.00
Fractional coordinates of all 16 atoms:
Ac (0.000, 0.500, 0.000)
La (0.500, 0.500, 0.000)
La (0.500, 0.500, 0.500)
La (0.000, 0.500, 0.500)
Nd (0.500, 0.000, 0.000)
Nd (0.500, 0.000, 0.500)
Nd (0.000, 0.000, 0.000)
Nd (0.000, 0.000, 0.500)
Se (0.255, 0.758, 0.003)
Se (0.255, 0.758, 0.510)
Se (0.248, 0.245, 0.497)
Se (0.748, 0.758, 0.003)
Se (0.252, 0.242, 0.997)
Se (0.752, 0.755, 0.503)
Se (0.745, 0.242, 0.490)
Se (0.745, 0.242, 0.997)


Record 13
AcLaNd2Se4: optimized geometry, PBE.

## Properties
crystal system = monoclinic
space-group type = P2/m
volume = 226.65 Å³/cell
total energy = -5.9455 eV per atom
uncorrected formation energy = -1.882 eV per atom

Unit cell a=4.281 b=7.471 c=7.503 alpha=70.82 beta=90.00 gamma=90.00
Fractional coordinates of all 8 atoms:
Ac (0.500, 0.500, 0.000)
La (0.000, 0.500, 0.500)
Nd (0.000, 0.000, 0.000)
Nd (0.500, 0.000, 0.500)
Se (0.000, 0.762, 0.742)
Se (0.000, 0.238, 0.258)
Se (0.500, 0.758, 0.251)
Se (0.500, 0.242, 0.749)


Record 14
AcLa2NdSe4: optimized geometry, PBE.

## Properties
crystal system = monoclinic
space-group type = P2/m
volume = 230.27 Å³/cell
total energy = -6.0036 eV per atom
uncorrected formation energy = -1.920 eV per atom

Unit cell a=4.313 b=7.511 c=7.531 alpha=70.72 beta=90.00 gamma=90.00
Fractional coordinates of all 8 atoms:
Ac (0.500, 0.500, 0.000)
La (0.000, 0.000, 0.000)
La (0.500, 0.000, 0.500)
Nd (0.000, 0.500, 0.500)
Se (0.000, 0.755, 0.741)
Se (0.000, 0.245, 0.259)
Se (0.500, 0.750, 0.257)
Se (0.500, 0.250, 0.743)


Record 15
Ac2La3NdSe6: optimized geometry, PBE.

## Properties
crystal system = monoclinic
space-group type = C2/m
volume = 349.71 Å³/cell
total energy = -5.9828 eV per atom
uncorrected formation energy = -1.927 eV per atom

Unit cell a=7.544 b=7.544 c=7.539 alpha=99.63 beta=99.63 gamma=120.12
Fractional coordinates of all 12 atoms:
Ac (0.334, 0.666, 0.000)
Ac (0.666, 0.334, 0.000)
La (0.169, 0.831, 0.500)
La (0.831, 0.169, 0.500)
La (0.500, 0.500, 0.500)
Nd (0.000, 0.000, 0.000)
Se (0.916, 0.590, 0.746)
Se (0.760, 0.760, 0.257)
Se (0.084, 0.410, 0.254)
Se (0.590, 0.916, 0.746)
Se (0.240, 0.240, 0.743)
Se (0.410, 0.084, 0.254)


Record 16
Ac2LaNdSe5: optimized geometry, PBE.

## Properties
crystal system = orthorhombic
space-group type = Cmc2_1
volume = 542.19 Å³/cell
total energy = -5.7524 eV per atom
uncorrected formation energy = -1.826 eV per atom

Unit cell a=4.377 b=9.323 c=13.669 alpha=90.00 beta=90.00 gamma=103.58
Fractional coordinates of all 18 atoms:
Ac (0.856, 0.712, 0.798)
Ac (0.107, 0.213, 0.691)
Ac (0.144, 0.288, 0.298)
Ac (0.893, 0.787, 0.191)
La (0.532, 0.063, 0.959)
La (0.468, 0.937, 0.459)
Nd (0.791, 0.583, 0.507)
Nd (0.209, 0.417, 0.007)
Se (0.371, 0.741, 0.000)
Se (0.684, 0.368, 0.856)
Se (0.488, 0.976, 0.761)
Se (0.277, 0.554, 0.662)
Se (0.938, 0.875, 0.591)
Se (0.629, 0.259, 0.500)
Se (0.316, 0.632, 0.356)
Se (0.512, 0.024, 0.261)
Se (0.723, 0.446, 0.162)
Se (0.062, 0.125, 0.091)


Record 17
Ac3LaNd4Se8: optimized geometry, PBE.

## Properties
crystal system = trigonal
space-group type = R-3m
volume = 459.40 Å³/cell
total energy = -5.8749 eV per atom
uncorrected formation energy = -1.862 eV per atom

Unit cell a=8.662 b=8.660 c=8.662 alpha=120.00 beta=120.00 gamma=90.00
Fractional coordinates of all 16 atoms:
Ac (0.500, 0.500, 0.000)
Ac (0.500, 0.500, 0.500)
Ac (0.000, 0.500, 0.500)
La (0.000, 0.500, 0.000)
Nd (0.500, 0.000, 0.000)
Nd (0.500, 0.000, 0.500)
Nd (0.000, 0.000, 0.000)
Nd (0.000, 0.000, 0.500)
Se (0.252, 0.761, 0.010)
Se (0.252, 0.761, 0.503)
Se (0.245, 0.235, 0.490)
Se (0.758, 0.761, 0.010)
Se (0.242, 0.239, 0.990)
Se (0.755, 0.765, 0.510)
Se (0.748, 0.239, 0.497)
Se (0.748, 0.239, 0.990)


Record 18
AcLaNdSe3: optimized geometry, PBE.

## Properties
crystal system = monoclinic
space-group type = P2_1/m
volume = 375.54 Å³/cell
total energy = -5.7360 eV per atom
uncorrected formation energy = -1.693 eV per atom

Unit cell a=4.290 b=8.361 c=10.771 alpha=103.57 beta=90.00 gamma=90.00
Fractional coordinates of all 12 atoms:
Ac (0.750, 0.810, 0.783)
Ac (0.250, 0.190, 0.217)
La (0.250, 0.663, 0.096)
La (0.750, 0.337, 0.904)
Nd (0.250, 0.166, 0.619)
Nd (0.750, 0.834, 0.381)
Se (0.250, 0.795, 0.561)
Se (0.750, 0.916, 0.112)
Se (0.750, 0.472, 0.200)
Se (0.750, 0.205, 0.439)
Se (0.250, 0.528, 0.800)
Se (0.250, 0.084, 0.888)


Record 19
Ac2LaNdSe6: optimized geometry, PBE.

## Properties
crystal system = trigonal
space-group type = R3
volume = 348.49 Å³/cell
total energy = -5.8274 eV per atom
uncorrected formation energy = -1.945 eV per atom

Unit cell a=7.744 b=7.744 c=8.063 alpha=61.30 beta=61.30 gamma=60.00
Fractional coordinates of all 10 atoms:
Ac (0.523, 0.523, 0.431)
Ac (0.024, 0.024, 0.929)
La (0.314, 0.314, 0.057)
Nd (0.815, 0.815, 0.554)
Se (0.613, 0.196, 0.258)
Se (0.196, 0.933, 0.258)
Se (0.933, 0.613, 0.258)
Se (0.439, 0.697, 0.757)
Se (0.697, 0.107, 0.757)
Se (0.107, 0.439, 0.757)


Record 20
AcLa2NdSm4: optimized geometry, PBE.

## Properties
crystal system = monoclinic
space-group type = P2/m
volume = 288.75 Å³/cell
calculated formation energy = 0.02 eV per atom
total energy = -4.6775 eV per atom

Unit cell a=5.306 b=5.265 c=11.607 alpha=62.93 beta=90.00 gamma=90.00
Fractional coordinates of all 8 atoms:
Ac (0.500, 0.500, 0.000)
La (0.000, 0.000, 0.000)
La (0.500, 0.000, 0.500)
Nd (0.000, 0.500, 0.500)
Sm (0.000, 0.755, 0.745)
Sm (0.000, 0.245, 0.255)
Sm (0.500, 0.745, 0.255)
Sm (0.500, 0.255, 0.745)


| no. | density (g cm⁻³) |
| --- | --- |
| 1 | 11.14 |
| 2 | 6.41 |
| 3 | 6.14 |
| 4 | 6.27 |
| 5 | 6.73 |
| 6 | 6.42 |
| 7 | 6.07 |
| 8 | 6.76 |
| 9 | 6.97 |
| 10 | 6.64 |
| 11 | 6.49 |
| 12 | 6.87 |
| 13 | 7.11 |
| 14 | 6.96 |
| 15 | 7.07 |
| 16 | 6.93 |
| 17 | 7.33 |
| 18 | 6.61 |
| 19 | 5.77 |
| 20 | 7.19 |